The following is a PBE calculation of a geometry-optimized Mg2SbAs structure, from Alexandria via LeMat-Bulk. Values from VASP.

Cell and atoms, written as Quantum ESPRESSO input:
```
&SYSTEM
  ibrav = 0, nat = 8, ntyp = 3
/
ATOMIC_SPECIES
As 74.92 As.upf
Sb 121.76 Sb.upf
Mg 24.30 Mg.upf
ATOMIC_POSITIONS crystal
As 0.5000 0.5000 0.0000
As 0.2500 0.7500 0.5000
Sb 0.0000 0.0000 0.0000
Sb 0.7500 0.2500 0.5000
Mg 0.8750 0.8370 0.7500
Mg 0.1630 0.6250 0.2500
Mg 0.3750 0.4130 0.7500
Mg 0.5870 0.1250 0.2500
CELL_PARAMETERS angstrom
7.7372 0.0000 0.0000
0.0000 7.7372 0.0000
3.8686 3.8686 3.1115
```

Calculated values
Raw formation energy in meV per atom: -232.7
Magnetization in μB/atom: 0.00
ρ in g/cm3: 4.4
Energy relative to the lowest polymorph listed for this composition in meV per atom: 85
Space-group type: I-42d, No. 122